(1)
A plane-wave DFT calculation with PBE-GGA was carried out for a relaxed structure of TaFeCuSn.

The calculation puts the spin magnetization at 0.0000 μB per atom. The calculation puts the formation energy at 0.05 eV/atom. As for the symmetry: F-43m (216). For the density, the calculation gives 11.59 g/cm³.

Cell lengths 4.395, 4.395, 4.395 Å; angles 60.00, 60.00, 60.00 degrees
Fractional coordinates of all 4 atoms:
Ta 0.500 0.500 0.500
Sn 0.000 0.000 0.000
Fe 0.750 0.750 0.750
Cu 0.250 0.250 0.250

---

(2)
A plane-wave DFT calculation with PBE-GGA was carried out for a relaxed structure of Tl2In2Br7.

The calculation puts the spin magnetization at 0.0000 μB per atom. As for the symmetry: C2/m (12). The formation energy (no corrections) comes out at -766 meV per atom. For the density, the calculation gives 3.98 g/cm³.

Cell lengths 7.120, 8.518, 8.518 Å; angles 99.46, 97.12, 97.12 degrees
Fractional coordinates of all 11 atoms:
Br 0.741 0.400 0.400
Br 0.225 0.425 0.093
Br 0.775 0.575 0.907
Br 0.259 0.600 0.600
Br 0.775 0.907 0.575
Br 0.500 0.000 0.000
Br 0.225 0.093 0.425
Tl 0.000 0.706 0.294
Tl 0.000 0.294 0.706
In 0.423 0.233 0.233
In 0.577 0.767 0.767

---

(3)
A plane-wave DFT calculation with PBE-GGA was carried out for a relaxed structure of K2SrGeBr6.

The calculation puts the spin magnetization at 0.0000 μB per atom. As for the symmetry: P2_1/c (14). The formation energy (no corrections) comes out at -1500 meV per atom. For the density, the calculation gives 3.37 g/cm³.

Cell lengths 7.744, 8.163, 11.184 Å; angles 90.00, 90.70, 90.00 degrees
Fractional coordinates of all 20 atoms:
Br 0.317 0.707 0.440
Br 0.797 0.811 0.558
Br 0.817 0.793 0.940
Br 0.683 0.293 0.560
Br 0.384 0.965 0.739
Br 0.616 0.035 0.261
Br 0.203 0.189 0.442
Br 0.116 0.465 0.761
Br 0.297 0.689 0.058
Br 0.703 0.311 0.942
Br 0.183 0.207 0.060
Br 0.884 0.535 0.239
Sr 0.000 0.500 0.500
Sr 0.500 0.000 0.000
K 0.972 0.078 0.752
K 0.528 0.578 0.748
K 0.028 0.922 0.248
K 0.472 0.422 0.252
Ge 0.000 0.500 0.000
Ge 0.500 0.000 0.500

---

(4)
A plane-wave DFT calculation with PBE-GGA was carried out for a relaxed structure of MgAs5.

The calculation puts the spin magnetization at 0.0000 μB per atom. The distance to the lowest polymorph of the same formula comes out at 87 meV per atom. The calculation puts the formation energy at 0.12 eV/atom. As for the symmetry: P4/mmm (123). For the density, the calculation gives 4.65 g/cm³.

Cell lengths 3.638, 3.638, 10.768 Å; angles 90.00, 90.00, 90.00 degrees
Fractional coordinates of all 6 atoms:
As 0.500 0.500 0.387
As 0.000 0.000 0.112
As 0.000 0.000 0.500
As 0.500 0.500 0.613
As 0.000 0.000 0.888
Mg 0.500 0.500 0.000

---

(5)
A plane-wave DFT calculation with PBE-GGA was carried out for a relaxed structure of Tb12Tl6N.

The calculation puts the spin magnetization at 0.0000 μB per atom. As for the symmetry: R-3 (148). The formation energy (no corrections) comes out at -327 meV per atom. For the density, the calculation gives 9.41 g/cm³.

Cell lengths 8.251, 8.251, 8.251 Å; angles 94.76, 94.76, 94.76 degrees
Fractional coordinates of all 19 atoms:
Tb 0.583 0.466 0.801
Tb 0.417 0.534 0.199
Tb 0.033 0.925 0.713
Tb 0.287 0.967 0.075
Tb 0.466 0.801 0.583
Tb 0.713 0.033 0.925
Tb 0.075 0.287 0.967
Tb 0.967 0.075 0.287
Tb 0.534 0.199 0.417
Tb 0.199 0.417 0.534
Tb 0.925 0.713 0.033
Tb 0.801 0.583 0.466
Tl 0.144 0.751 0.361
Tl 0.639 0.856 0.249
Tl 0.856 0.249 0.639
Tl 0.249 0.639 0.856
Tl 0.361 0.144 0.751
Tl 0.751 0.361 0.144
N 0.000 0.000 0.000

---

(6)
A plane-wave DFT calculation with PBE-GGA was carried out for a relaxed structure of Tb3PrCu.

The calculation puts the spin magnetization at 0.0000 μB per atom. The calculation puts the formation energy at 0.08 eV/atom. As for the symmetry: Pm-3m (221). For the density, the calculation gives 7.10 g/cm³.

Cell lengths 5.422, 5.422, 5.422 Å; angles 90.00, 90.00, 90.00 degrees
Fractional coordinates of all 5 atoms:
Cu 0.000 0.000 0.000
Pr 0.500 0.500 0.500
Tb 0.000 0.500 0.000
Tb 0.500 0.000 0.000
Tb 0.000 0.000 0.500

---

Number 1: DFT total energy -7.0579 eV per atom. Number 2: DFT total energy -2.7588 eV per atom. Number 3: DFT total energy -3.3534 eV per atom. Number 4: DFT total energy -4.0188 eV per atom. Number 5: DFT total energy -4.4368 eV per atom. Number 6: DFT total energy -4.4749 eV per atom.